Entry from Alexandria via LeMat-Bulk: a geometry-optimized Lu2MnGa structure (PBE-GGA).

The structure in POSCAR format:
```
Lu2MnGa
1.0
-2.1710 -4.4053 -0.3964
1.4143 -3.7144 2.9120
-2.9887 -1.6042 3.5738
Lu Ga Mn
2 1 1
Direct
0.7500 0.7500 0.7500
0.2500 0.2500 0.2500
0.5000 0.5000 0.5000
0.0000 0.0000 0.0000
```

SG: Fm-3m
Crystal system: cubic
E_tot (eV for the cell shown): -22.0
E_form (eV/atom): -0.179


Entry from Alexandria via LeMat-Bulk: a geometry-optimized LuMn6Ga6 structure (PBE-GGA).

The structure in POSCAR format:
```
LuMn6Ga6
1.0
0.0000 6.1871 6.3594
2.4198 0.0000 6.3594
2.4198 6.1871 0.0000
Mn Ga Lu
6 6 1
Direct
0.0029 0.6482 0.3518
0.0000 0.0000 0.5000
0.9971 0.3518 0.6482
0.3518 0.9971 0.0029
0.6482 0.0029 0.9971
0.5000 0.5000 0.0000
0.2591 0.5100 0.4900
0.7409 0.4900 0.5100
0.5100 0.2591 0.7409
0.4900 0.7409 0.2591
0.0000 0.5000 0.0000
0.5000 0.0000 0.5000
0.0000 0.0000 0.0000
```

SG: Fmmm
Crystal system: orthorhombic
E_tot (eV for the cell shown): -78.8
E_form (eV/atom): -0.086


Entry from Alexandria via LeMat-Bulk: a geometry-optimized LuMnGa2 structure (PBE-GGA).

The structure in POSCAR format:
```
LuMnGa2
1.0
-2.7607 -3.1696 0.2005
-0.8958 -2.2317 -3.4533
2.4034 -4.8886 -0.0282
Mn Lu Ga
1 1 2
Direct
0.5000 0.5000 0.5000
0.0000 0.0000 0.0000
0.2214 0.2214 0.3359
0.7786 0.7786 0.6641
```

SG: R-3m
Crystal system: trigonal
E_tot (eV for the cell shown): -20.9
E_form (eV/atom): -0.286


Entry from Alexandria via LeMat-Bulk: a geometry-optimized LuMnGa2 structure (PBE-GGA).

The structure in POSCAR format:
```
LuMnGa2
1.0
3.2737 0.0000 0.0000
0.0000 3.2737 0.0000
0.0000 0.0000 6.5587
Lu Mn Ga
1 1 2
Direct
0.5000 0.5000 0.5000
0.5000 0.5000 0.0000
0.0000 0.0000 0.7949
0.0000 0.0000 0.2051
```

SG: P4/mmm
Crystal system: tetragonal
E_tot (eV for the cell shown): -20.8
E_form (eV/atom): -0.252


Entry from Alexandria via LeMat-Bulk: a geometry-optimized LuMnGa2 structure (PBE-GGA).

The structure in POSCAR format:
```
LuMnGa2
1.0
4.1030 0.0000 0.0000
0.0000 4.2106 0.0000
0.0000 0.0000 4.2106
Lu Ga Mn
1 2 1
Direct
0.5000 0.5000 0.5000
0.0000 0.0000 0.5000
0.0000 0.5000 0.0000
0.5000 0.0000 0.0000
```

SG: P4/mmm
Crystal system: tetragonal
E_tot (eV for the cell shown): -20.7
E_form (eV/atom): -0.246


Entry from Alexandria via LeMat-Bulk: a geometry-optimized LuMnGa structure (PBE-GGA).

The structure in POSCAR format:
```
LuMnGa
1.0
-1.8744 1.7241 2.1898
-0.0804 -3.5368 2.7158
3.2444 3.0355 0.3872
Mn Ga Lu
1 1 1
Direct
0.1665 0.3333 0.6667
0.1669 0.0000 0.0000
0.6667 0.6667 0.3333
```

SG: P-6m2
Crystal system: hexagonal
E_tot (eV for the cell shown): -17.5
E_form (eV/atom): -0.254


Entry from Alexandria via LeMat-Bulk: a geometry-optimized PmLuMnGa structure (PBE-GGA).

The structure in POSCAR format:
```
PmLuMnGa
1.0
5.0534 0.0000 0.0000
2.5267 4.3764 0.0000
2.5267 1.4588 4.1261
Ga Pm Lu Mn
1 1 1 1
Direct
0.0000 0.0000 0.0000
0.7500 0.7500 0.7500
0.2500 0.2500 0.2500
0.5000 0.5000 0.5000
```

SG: F-43m
Crystal system: cubic
E_tot (eV for the cell shown): -22.0
E_form (eV/atom): -0.142


Entry from Alexandria via LeMat-Bulk: a geometry-optimized LuMnGaRu structure (PBE-GGA).

The structure in POSCAR format:
```
LuMnGaRu
1.0
-2.6225 -3.5006 -1.1001
0.0751 -3.7492 2.5059
-3.5451 -1.0602 2.5789
Ga Ru Lu Mn
1 1 1 1
Direct
0.0000 0.0000 0.0000
0.2500 0.2500 0.2500
0.5000 0.5000 0.5000
0.7500 0.7500 0.7500
```

SG: F-43m
Crystal system: cubic
E_tot (eV for the cell shown): -27.0
E_form (eV/atom): -0.250


What is the E_tot in the third record?
-20.9 eV for the cell shown


What did the fifth record say?
Entry from Alexandria via LeMat-Bulk: a geometry-optimized LuMnGa2 structure (PBE-GGA).

The structure in POSCAR format:
```
LuMnGa2
1.0
4.1030 0.0000 0.0000
0.0000 4.2106 0.0000
0.0000 0.0000 4.2106
Lu Ga Mn
1 2 1
Direct
0.5000 0.5000 0.5000
0.0000 0.0000 0.5000
0.0000 0.5000 0.0000
0.5000 0.0000 0.0000
```

SG: P4/mmm
Crystal system: tetragonal
E_tot (eV for the cell shown): -20.7
E_form (eV/atom): -0.246


Look up the E_tot of the second one.
-78.8 eV for the cell shown


Among the records above, which one has the highest E_form?
LuMn6Ga6